# 1
First-principles (PBE) data for a relaxed structure of PrBeAu, as listed in Alexandria.

abc: 4.044 4.276 4.276
angles: 120.00 90.00 90.00
Element x y z (fractional)
Pr 0.667 0.333 0.667
Be 0.167 0.667 0.333
Au 0.167 0.000 0.000

Output
The size of the total moment comes out at 0.00 μB/cell. As for the energy above the most stable polymorph in this dataset: 6 meV/atom. The calculated formation energy comes out at -418 meV per atom. For the total energy, the calculation gives -13.04 eV for the cell shown. For the density of states at the Fermi level, the calculation gives 2.20 states/eV/cell. As for the symmetry: P-6m2. As for the crystal system: hexagonal.



# 2
First-principles (PBE) data for a relaxed structure of NiAsRh, as listed in Alexandria.

abc: 4.432 4.432 4.432
angles: 140.93 130.28 64.98
Element x y z (fractional)
As 0.996 0.996 0.000
Ni 0.676 0.676 0.000
Rh 0.329 0.329 0.000

Output
The size of the total moment comes out at 0.00 μB/cell. The calculated formation energy comes out at -76 meV per atom. For the total energy, the calculation gives -18.01 eV for the cell shown. For the density of states at the Fermi level, the calculation gives 5.16 states/eV/cell. As for the symmetry: Imm2. As for the crystal system: orthorhombic.



# 3
First-principles (PBE) data for a relaxed structure of TaSiSb, as listed in Alexandria.

abc: 3.250 3.250 6.333
angles: 90.00 90.00 120.00
Element x y z (fractional)
Sb 0.000 0.000 0.995
Si 0.667 0.333 0.357
Ta 0.333 0.667 0.648

Output
The size of the total moment comes out at 0.00 μB/cell. The value obtained for the formation energy (no corrections) is 0.5 eV/f.u. For the total energy, the calculation gives -20.88 eV for the cell shown. For the density of states at the Fermi level, the calculation gives 1.80 states/eV/cell. As for the symmetry: P3m1. As for the crystal system: trigonal.



# 4
First-principles (PBE) data for a relaxed structure of CaCoSi, as listed in Alexandria.

abc: 7.007 4.022 10.617
angles: 90.00 130.40 90.00
Element x y z (fractional)
Ca 0.823 0.000 0.059
Ca 0.177 0.000 0.941
Ca 0.823 0.500 0.559
Ca 0.177 0.500 0.441
Co 0.358 0.000 0.731
Co 0.642 0.000 0.269
Co 0.358 0.500 0.231
Co 0.642 0.500 0.769
Si 0.392 0.000 0.335
Si 0.608 0.000 0.665
Si 0.392 0.500 0.835
Si 0.608 0.500 0.165

Output
The size of the total moment comes out at 0.00 μB/cell. The value obtained for the formation energy (no corrections) is -1.2 eV/f.u. For the total energy, the calculation gives -62.87 eV for the cell shown. For the density of states at the Fermi level, the calculation gives 5.96 states/eV/cell. As for the symmetry: C2/m. As for the crystal system: monoclinic.



# 5
First-principles (PBE) data for a relaxed structure of Cd2MoPt2, as listed in Alexandria.

abc: 3.730 3.730 7.354
angles: 75.31 75.31 90.00
Last column: magnetic moment on the atom in μB.
Element x y z (fractional)
Mo 0.000 0.000 0.000  1.86
Pt 0.407 0.407 0.186  0.05
Pt 0.593 0.593 0.814  0.05
Cd 0.750 0.250 0.500  0.00
Cd 0.250 0.750 0.500  0.00

Output
The size of the total moment comes out at 2.22 μB/cell. As for the energy above the most stable polymorph in this dataset: 284 meV/atom. The calculated formation energy comes out at 365 meV per atom. For the total energy, the calculation gives -22.92 eV for the cell shown. For the density of states at the Fermi level, the calculation gives 3.39 states/eV/cell. As for the symmetry: I4/mmm. As for the crystal system: tetragonal.



# 6
First-principles (PBE) data for a relaxed structure of Tb12Er7Tl, as listed in Alexandria.

abc: 8.613 8.613 8.613
angles: 88.02 88.02 88.02
Element x y z (fractional)
Tb 0.864 0.255 0.741
Tb 0.745 0.259 0.136
Tb 0.616 0.141 0.499
Tb 0.859 0.501 0.384
Tb 0.259 0.136 0.745
Tb 0.501 0.384 0.859
Tb 0.499 0.616 0.141
Tb 0.741 0.864 0.255
Tb 0.141 0.499 0.616
Tb 0.384 0.859 0.501
Tb 0.255 0.741 0.864
Tb 0.136 0.745 0.259
Er 0.853 0.612 0.935
Er 0.388 0.065 0.147
Er 0.065 0.147 0.388
Er 0.500 0.500 0.500
Er 0.935 0.853 0.612
Er 0.612 0.935 0.853
Er 0.147 0.388 0.065
Tl 0.000 0.000 0.000

Output
The size of the total moment comes out at 0.00 μB/cell. The calculated formation energy comes out at 178 meV per atom. For the total energy, the calculation gives -86.30 eV for the cell shown. For the density of states at the Fermi level, the calculation gives 32.74 states/eV/cell. As for the symmetry: R-3. As for the crystal system: trigonal.